(1)
8
Lattice="4.987 0.000 0.000 0.000 4.987 0.000 0.000 0.000 4.987" Properties=species:S:1:pos:R:3 comment="LiPt3, optimized geometry, DFT PBE" space_group="No. 223" crystal_system=cubic dft_energy_ha_per_atom=-0.1837 pbc="T T T"
Li 0.000 0.000 0.000
Li 2.494 2.494 2.494
Pt 0.000 1.247 2.494
Pt 0.000 3.741 2.494
Pt 1.247 2.494 0.000
Pt 2.494 0.000 1.247
Pt 2.494 0.000 3.741
Pt 3.741 2.494 0.000


(2)
6
Lattice="-1.466 -2.485 4.055 -4.656 0.510 1.683 -3.224 -3.768 -0.420" Properties=species:S:1:pos:R:3 comment="Li5Pt, optimized geometry, DFT PBE" de_polymorph_ev_per_atom=0.1543 space_group="No. 216" crystal_system=cubic pbc="T T T"
Li -4.231 -3.404 4.044
Li -7.010 -4.307 3.989
Li -5.851 -1.883 2.839
Li -3.486 -2.142 1.984
Li -5.124 -4.056 1.770
Pt 0.000 0.000 0.000


(3)
6
Lattice="-3.430 -2.956 2.508 -2.770 -0.977 4.262 -5.973 2.870 -0.991" Properties=species:S:1:pos:R:3 comment="Li2Pt, optimized geometry, DFT PBE" de_polymorph_ev_per_atom=0.1233 space_group="No. 12" crystal_system=monoclinic pbc="T T T"
Li -4.182 1.815 -0.474
Li -9.833 0.232 3.437
Li -2.341 -1.295 2.341
Li -7.992 -2.878 6.253
Pt -6.432 -1.755 4.400
Pt -5.741 0.693 1.378


(4)
4
Lattice="-2.861 4.135 -1.099 -2.683 2.124 3.886 4.576 -1.255 -2.074" Properties=species:S:1:pos:R:3 comment="LiPt, optimized geometry, DFT PBE" space_group="No. 12" crystal_system=monoclinic dft_energy_ha_per_atom=-0.1681 pbc="T T T"
Pt -2.770 3.213 1.351
Pt -0.817 2.442 -0.319
Li -5.488 6.226 2.745
Li -0.781 1.553 2.174


(5)
12
Lattice="3.861 0.000 0.000 0.000 11.815 0.000 0.000 0.000 3.681" Properties=species:S:1:pos:R:3 comment="LiPt, optimized geometry, DFT PBE" space_group="No. 65" crystal_system=orthorhombic dft_energy_ha_per_atom=-0.1636 pbc="T T T"
Li 0.000 9.907 1.841
Li 0.000 1.908 1.841
Li 1.931 4.000 1.841
Li 1.931 7.815 1.841
Li 0.000 0.000 0.000
Li 1.931 5.908 0.000
Pt 0.000 3.923 0.000
Pt 0.000 7.892 0.000
Pt 1.931 9.831 0.000
Pt 1.931 1.984 0.000
Pt 1.931 0.000 1.841
Pt 0.000 5.908 1.841


(6)
4
Lattice="-2.912 2.924 0.245 -0.747 -3.790 1.473 1.673 1.312 4.224" Properties=species:S:1:pos:R:3 comment="LiPt, optimized geometry, DFT PBE" space_group="No. 194" crystal_system=hexagonal dft_energy_ha_per_atom=-0.1316 pbc="T T T"
Li -1.050 -1.224 2.120
Li -0.936 1.670 3.822
Pt -0.214 -0.568 4.232
Pt -1.772 1.014 1.710


(7)
6
Lattice="5.099 -0.050 0.000 -2.295 4.553 0.000 -1.402 -2.252 4.355" Properties=species:S:1:pos:R:3 comment="Li2Pt, optimized geometry, DFT PBE" de_polymorph_ev_per_atom=0.0944 space_group="No. 140" crystal_system=tetragonal pbc="T T T"
Li -0.521 0.324 2.177
Li -0.447 3.403 0.614
Li 1.849 -1.151 3.741
Li 1.923 1.928 2.177
Pt 0.701 1.126 0.000
Pt 2.103 3.378 0.000


(8)
12
Lattice="-3.625 -1.875 3.805 1.488 -5.249 -1.170 3.973 0.255 3.910" Properties=species:S:1:pos:R:3 comment="LiPt2, optimized geometry, DFT PBE" de_polymorph_ev_per_atom=0.7578 space_group="No. 205" crystal_system=cubic pbc="T T T"
Pt 3.849 -3.418 3.144
Pt 2.184 -4.679 0.937
Pt 2.322 -1.198 4.551
Pt 0.657 -2.460 2.343
Pt 1.179 -4.410 4.202
Pt -0.486 -5.672 1.994
Pt -0.348 -2.191 5.609
Pt -2.013 -3.452 3.401
Li 0.000 0.000 0.000
Li 2.730 -2.497 1.370
Li 0.174 -0.810 3.858
Li -1.069 -3.562 1.318


(9)
2
Lattice="2.703 0.000 0.000 0.000 2.703 0.000 0.000 0.000 3.843" Properties=species:S:1:pos:R:3 comment="LiPt, optimized geometry, DFT PBE" space_group="No. 123" crystal_system=tetragonal dft_energy_ha_per_atom=-0.1657 pbc="T T T"
Pt 1.352 1.352 1.921
Li 0.000 0.000 0.000


(10)
12
Lattice="7.916 0.000 0.000 -3.958 6.855 0.000 0.000 0.000 4.255" Properties=species:S:1:pos:R:3 comment="LiPt, optimized geometry, DFT PBE" space_group="No. 194" crystal_system=hexagonal dft_energy_ha_per_atom=-0.1596 pbc="T T T"
Li 3.958 4.158 1.064
Li -1.622 5.507 3.191
Li 2.336 1.349 1.064
Li 0.000 2.697 3.191
Li 5.580 1.349 1.064
Li 1.622 5.507 3.191
Pt 0.000 6.118 1.064
Pt 2.618 3.059 3.191
Pt -1.340 3.796 1.064
Pt 3.958 0.737 3.191
Pt 1.340 3.796 1.064
Pt 5.298 3.059 3.191


(11)
12
Lattice="-2.155 1.724 4.487 -3.511 -1.540 -1.094 1.891 -6.819 3.528" Properties=species:S:1:pos:R:3 comment="Li2Pt, optimized geometry, DFT PBE" de_polymorph_ev_per_atom=0.1055 space_group="No. 62" crystal_system=orthorhombic pbc="T T T"
Li -0.636 -1.862 1.030
Li -0.087 -4.092 2.405
Li -3.256 -1.078 1.068
Li -2.091 -5.525 3.591
Li -1.683 -1.109 3.330
Li -0.519 -5.556 5.852
Li -3.688 -2.543 4.515
Li -3.138 -4.772 5.891
Pt 0.544 -6.358 3.569
Pt -2.632 -3.338 2.247
Pt -1.143 -3.296 4.674
Pt -4.319 -0.277 3.352


(12)
6
Lattice="-0.751 -3.813 3.416 0.983 -4.822 1.597 5.102 0.801 4.422" Properties=species:S:1:pos:R:3 comment="LiPt2, optimized geometry, DFT PBE" de_polymorph_ev_per_atom=0.0616 space_group="No. 12" crystal_system=monoclinic pbc="T T T"
Li 4.378 -7.744 8.473
Li 0.956 -0.090 0.962
Pt 2.666 -2.769 4.079
Pt 4.535 -5.409 7.326
Pt 0.799 -2.425 2.108
Pt 2.668 -5.065 5.356


(13)
8
Lattice="1.087 1.901 -3.788 -3.460 -2.671 0.193 -4.622 6.113 1.742" Properties=species:S:1:pos:R:3 comment="LiPt, optimized geometry, DFT PBE" space_group="No. 194" crystal_system=hexagonal dft_energy_ha_per_atom=-0.1619 pbc="T T T"
Li -2.316 -0.655 -0.994
Li -3.111 3.926 -1.450
Li -4.678 5.999 -0.859
Li -3.884 1.418 -0.403
Pt -1.155 1.528 0.435
Pt -3.466 4.585 1.306
Pt -5.411 3.438 0.172
Pt -1.584 1.905 -2.026


(14)
6
Lattice="-1.412 1.412 12.182 1.412 -1.412 12.182 1.412 1.412 -12.182" Properties=species:S:1:pos:R:3 comment="Li2Pt, optimized geometry, DFT PBE" de_polymorph_ev_per_atom=0.1370 space_group="No. 141" crystal_system=tetragonal pbc="T T T"
Li 0.000 0.000 10.525
Li 0.000 0.000 13.839
Li 1.412 0.000 4.434
Li 1.412 0.000 7.748
Pt 0.000 1.412 6.091
Pt 0.000 0.000 0.000


(15)
6
Lattice="1.352 4.868 0.004 -1.352 4.868 0.004 0.000 1.702 6.554" Properties=species:S:1:pos:R:3 comment="LiPt, optimized geometry, DFT PBE" space_group="No. 8" crystal_system=monoclinic dft_energy_ha_per_atom=-0.1649 pbc="T T T"
Li 0.000 0.006 0.004
Li 0.000 6.469 1.885
Li 0.000 7.596 4.286
Pt 0.000 3.870 2.109
Pt 0.000 10.139 4.050
Pt 0.000 4.326 6.260


(16)
8
Lattice="-2.558 -1.694 3.342 2.439 -4.052 -0.187 3.548 1.964 3.711" Properties=species:S:1:pos:R:3 comment="LiPt3, optimized geometry, DFT PBE" space_group="No. 59" crystal_system=orthorhombic dft_energy_ha_per_atom=-0.1954 pbc="T T T"
Li 0.812 -1.349 -0.062
Li 2.121 -2.567 3.402
Pt 0.347 -3.548 1.547
Pt 2.896 -2.887 0.754
Pt 0.037 -1.029 2.586
Pt 2.586 -0.368 1.793
Pt 4.706 -1.885 2.647
Pt 1.775 -0.067 4.404


(17)
6
Lattice="-6.221 -1.278 3.488 5.118 -0.615 -5.092 2.072 -3.312 2.483" Properties=species:S:1:pos:R:3 comment="LiPt2, optimized geometry, DFT PBE" de_polymorph_ev_per_atom=0.0889 space_group="No. 63" crystal_system=orthorhombic pbc="T T T"
Li 2.927 -1.601 -2.421
Li -1.958 -3.603 3.300
Pt -4.520 -2.037 3.213
Pt -1.006 -1.831 0.555
Pt 1.976 -3.373 0.324
Pt 5.489 -3.168 -2.334


(18)
4
Lattice="-1.840 -1.834 -0.788 1.766 0.972 -1.819 5.985 -6.915 2.116" Properties=species:S:1:pos:R:3 comment="LiPt3, optimized geometry, DFT PBE" space_group="No. 65" crystal_system=orthorhombic dft_energy_ha_per_atom=-0.1927 pbc="T T T"
Li 0.000 0.000 0.000
Pt 2.993 -3.457 1.058
Pt 1.359 -2.044 -0.810
Pt 4.551 -5.733 0.318


(19)
4
Lattice="9.449 -0.034 -0.020 9.054 2.704 -0.020 9.054 1.306 2.368" Properties=species:S:1:pos:R:3 comment="LiPt, optimized geometry, DFT PBE" space_group="No. 166" crystal_system=trigonal dft_energy_ha_per_atom=-0.1581 pbc="T T T"
Li 0.229 0.033 0.019
Li 6.660 0.961 0.562
Pt 13.865 2.001 1.171
Pt 20.582 2.970 1.738


(20)
4
Lattice="-1.287 4.303 1.556 -4.368 -0.057 1.875 3.865 -2.681 0.686" Properties=species:S:1:pos:R:3 comment="LiPt, optimized geometry, DFT PBE" space_group="No. 141" crystal_system=tetragonal dft_energy_ha_per_atom=-0.1619 pbc="T T T"
Li 0.000 0.000 0.000
Li -0.124 1.873 1.978
Pt -1.665 -0.308 2.138
Pt -2.827 2.123 1.715


(21)
32
Lattice="-0.617 5.548 -5.551 -9.935 -8.407 -7.297 -3.205 1.863 2.217" Properties=species:S:1:pos:R:3 comment="LiPt, optimized geometry, DFT PBE" space_group="No. 70" crystal_system=orthorhombic dft_energy_ha_per_atom=-0.1597 pbc="T T T"
Li -0.518 4.658 -4.661
Li -0.099 0.889 -0.890
Li -8.506 -3.563 -7.197
Li -8.308 -5.342 -5.416
Li -7.088 1.386 -7.201
Li -6.669 -2.383 -3.430
Li -5.141 1.571 -2.439
Li -4.943 -0.207 -0.659
Li -1.812 2.816 -0.777
Li -2.010 4.594 -2.557
Li -10.417 0.142 -8.864
Li -10.219 -1.637 -7.084
Li -5.177 -2.319 -5.534
Li -5.375 -0.540 -7.314
Li -3.847 3.414 -6.324
Li -3.649 1.635 -4.544
Pt -4.120 -3.487 -3.026
Pt -5.815 -4.921 -4.271
Pt -4.286 -0.966 -3.280
Pt -2.592 0.468 -2.036
Pt -10.690 -6.759 -5.566
Pt -2.450 0.214 0.486
Pt -10.856 -4.239 -5.820
Pt -9.162 -2.805 -4.576
Pt -6.031 0.218 -4.693
Pt -7.726 -1.215 -5.938
Pt -6.197 2.739 -4.947
Pt -4.503 4.173 -3.703
Pt -9.396 -4.916 -9.451
Pt -1.156 2.057 -3.398
Pt -9.563 -2.396 -9.705
Pt -7.868 -0.962 -8.460


(22)
10
Lattice="0.684 -6.543 1.483 -2.155 -2.354 5.941 -5.436 -3.981 0.279" Properties=species:S:1:pos:R:3 comment="Li4Pt, optimized geometry, DFT PBE" de_polymorph_ev_per_atom=0.4634 space_group="No. 227" crystal_system=cubic pbc="T T T"
Li -5.926 -11.048 6.608
Li -4.996 -10.032 4.044
Li -3.579 -9.329 6.488
Li -3.638 -6.065 5.585
Li -2.708 -5.049 3.020
Li -6.221 -8.223 5.968
Li -5.055 -6.767 3.140
Li -2.413 -7.873 3.660
Pt -1.727 -3.219 1.926
Pt 0.000 0.000 0.000


(23)
6
Lattice="2.699 0.000 0.000 0.000 6.125 0.000 0.000 0.000 6.639" Properties=species:S:1:pos:R:3 comment="Li2Pt, optimized geometry, DFT PBE" de_polymorph_ev_per_atom=0.2460 space_group="No. 58" crystal_system=orthorhombic pbc="T T T"
Li 0.000 1.276 2.082
Li 1.349 1.787 5.401
Li 1.349 4.338 1.237
Li 0.000 4.850 4.557
Pt 0.000 0.000 0.000
Pt 1.349 3.063 3.319


(24)
3
Lattice="-4.001 -1.861 -0.436 3.244 -1.027 -2.843 0.780 -2.059 1.634" Properties=species:S:1:pos:R:3 comment="LiPt2, optimized geometry, DFT PBE" de_polymorph_ev_per_atom=0.1289 space_group="No. 191" crystal_system=hexagonal pbc="T T T"
Li 0.390 -1.030 0.817
Pt 0.829 -1.305 -2.040
Pt -1.586 -1.583 -1.238


(25)
6
Lattice="0.000 3.700 3.700 3.700 0.000 3.700 3.700 3.700 0.000" Properties=species:S:1:pos:R:3 comment="LiPt5, optimized geometry, DFT PBE" de_polymorph_ev_per_atom=0.2658 space_group="No. 216" crystal_system=cubic pbc="T T T"
Li 0.000 0.000 0.000
Pt 2.776 4.625 4.625
Pt 5.551 5.551 5.551
Pt 4.625 2.776 4.625
Pt 2.776 2.776 2.776
Pt 4.625 4.625 2.776